[1]
# Mg2Al2Ag3

A relaxed Mg2Al2Ag3 crystal (GGA-PBE, the Alexandria database).

Cell lengths 4.1646, 5.2445, 6.3458 Å; angles 97.84, 90.00, 113.39 degrees
Closest atoms and distances in Å follow each position.
Sites, in units of the cell vectors:
1 Mg 0.5788 0.1576 0.7339  6 Ag 2.85-2.92, 5 Al 2.95-3.06, 1 Mg 3.13
2 Mg 0.4212 0.8424 0.2661  6 Ag 2.85-2.92, 5 Al 2.95-3.06, 1 Mg 3.13
3 Ag 0.2915 0.5831 0.8286  3 Al 2.73-2.80, 4 Mg 2.87-2.92, 2 Ag 2.98
4 Ag 0.0000 0.0000 0.0000  4 Mg 2.85, 2 Al 2.86, 6 Ag 2.98-3.16
5 Ag 0.7085 0.4169 0.1714  3 Al 2.73-2.80, 4 Mg 2.87-2.92, 2 Ag 2.98
6 Al 0.8614 0.7228 0.5695  4 Ag 2.73-2.86, 3 Al 2.93-3.03, 4 Mg 2.95-3.03
7 Al 0.1386 0.2772 0.4305  4 Ag 2.73-2.86, 3 Al 2.93-3.03, 4 Mg 2.95-3.03

Calculated values
* energy of formation from the pure elements: -95.6 meV/atom
* DOS at the Fermi energy: 0.37 states/eV/atom


[2]
# SnPbS4

A relaxed SnPbS4 crystal (GGA-PBE, the Alexandria database).

Cell lengths 3.7634, 7.4811, 6.5503 Å; angles 115.99, 90.00, 104.57 degrees
Closest atoms and distances in Å follow each position.
Sites, in units of the cell vectors:
1 S 0.6161 0.2322 0.9598  2 Sn 2.61, 1 Pb 2.70
2 S 0.3839 0.7678 0.0402  2 Sn 2.61, 1 Pb 2.70
3 S 0.8817 0.7634 0.5602  1 Sn 2.60, 2 Pb 2.69
4 S 0.1183 0.2366 0.4398  1 Sn 2.60, 2 Pb 2.69
5 Pb 0.5000 0.0000 0.5000  6 S 2.69-2.70
6 Sn 0.0000 0.0000 0.0000  6 S 2.60-2.61

Calculated values
* energy relative to the elements, uncorrected: -1.0 eV per formula unit


[3]
# LaCrCuRe2

A relaxed LaCrCuRe2 crystal (GGA-PBE, the Alexandria database).

Cell lengths 4.8302, 4.7239, 4.8302 Å; angles 90.00, 90.00, 90.00 degrees
Closest atoms and distances in Å follow each position.
Sites, in units of the cell vectors:
1 Cu 0.0000 0.5000 0.0000  2 La 2.36
2 Re 0.5000 0.0000 0.0000  2 La 2.42
3 Re 0.0000 0.0000 0.5000  2 La 2.42
4 La 0.0000 0.0000 0.0000  2 Cu 2.36, 4 Re 2.42
5 Cr 0.5000 0.5000 0.5000  8 Re 3.38, 4 Cu 3.42

Calculated values
* energy of formation from the pure elements: 2924.5 meV/atom
* DOS at the Fermi energy: 1.23 states/eV/atom


[4]
# KCa2

A relaxed KCa2 crystal (GGA-PBE, the Alexandria database).

Cell lengths 7.4083, 7.4083, 7.4083 Å; angles 101.98, 101.98, 125.79 degrees
Closest atoms and distances in Å follow each position.
Sites, in units of the cell vectors:
1 Ca 0.1414 0.6414 0.7829  1 Ca 3.73, 4 K 3.97
2 Ca 0.3586 0.1414 0.5000  1 Ca 3.73, 4 K 3.97
3 Ca 0.8586 0.3586 0.2171  1 Ca 3.73, 4 K 3.97
4 Ca 0.6414 0.8586 0.5000  1 Ca 3.73, 4 K 3.97
5 K 0.7500 0.7500 0.0000  2 K 3.38
6 K 0.2500 0.2500 0.0000  2 K 3.38

Calculated values
* energy of formation from the pure elements: 308.0 meV/atom
* DOS at the Fermi energy: 1.22 states/eV/atom


Total magnetization
In order: 0.00 0.00 0.25 0.00
Unit: μB/f.u.